{
  "formula": "La2AuN",
  "functional": "PBE",
  "state": "relaxed",
  "spacegroup": "Pnma (62)",
  "e_form_raw_mev_per_atom": -1050.0,
  "total_magnetization_mub_per_cell": 0.00,
  "dos_at_fermi_per_ev_cell": 8.11,
  "dft_energy_ev_per_atom": -6.414,
  "lattice": [[7.369, 0.000, 0.000], [0.000, 4.022, 0.000], [0.000, 0.000, 14.222]],
  "species": ["La", "La", "La", "La", "La", "La", "La", "La", "Au", "Au", "Au", "Au", "N", "N", "N", "N"],
  "fractional_positions": [[0.097, 0.250, 0.222], [0.201, 0.250, 0.967], [0.299, 0.750, 0.467], [0.403, 0.750, 0.722], [0.597, 0.250, 0.278], [0.701, 0.250, 0.533], [0.799, 0.750, 0.033], [0.903, 0.750, 0.778], [0.110, 0.250, 0.644], [0.390, 0.750, 0.144], [0.610, 0.250, 0.856], [0.890, 0.750, 0.356], [0.050, 0.750, 0.915], [0.450, 0.250, 0.415], [0.550, 0.750, 0.585], [0.950, 0.250, 0.085]]
}

{
  "formula": "La3AuN",
  "functional": "PBE",
  "state": "relaxed",
  "spacegroup": "C2/m (12)",
  "e_form_raw_mev_per_atom": -825.4,
  "total_magnetization_mub_per_cell": 0.00,
  "dos_at_fermi_per_ev_cell": 11.40,
  "dft_energy_ev_per_atom": -6.102,
  "polymorph_energy_mev_per_atom": 86,
  "lattice": [[6.016, -2.636, 0.000], [6.016, 2.636, 0.000], [-2.856, 0.000, 7.929]],
  "species": ["La", "La", "La", "La", "La", "La", "Au", "Au", "N", "N"],
  "fractional_positions": [[0.104, 0.104, 0.202], [0.156, 0.156, 0.650], [0.361, 0.361, 0.080], [0.639, 0.639, 0.920], [0.844, 0.844, 0.350], [0.896, 0.896, 0.798], [0.403, 0.403, 0.572], [0.597, 0.597, 0.428], [0.125, 0.125, 0.920], [0.875, 0.875, 0.080]]
}

Q: Which formula does entry 1 have?
A: La2AuN